1.
Compound: Sc3Ga2Ge2
Source: the Alexandria database
Functional: GGA-PBE
Structure: optimized geometry

a = 4.119 Å, b = 5.466 Å, c = 6.796 Å
α = 107.82°, β = 90.00°, γ = 112.14°
Element x y z (fractional)
Sc1 0.333 0.667 0.381
Sc2 0.667 0.333 0.619
Sc3 0.500 0.000 0.000
Ga1 0.806 0.613 0.079
Ga2 0.194 0.387 0.921
Ge1 0.951 0.903 0.665
Ge2 0.049 0.097 0.335

Output
DFT total energy in eV/atom: -5.5434

---

2.
Compound: YBePt3
Source: the Alexandria database
Functional: GGA-PBE
Structure: optimized geometry

a = 4.276 Å, b = 4.453 Å, c = 4.453 Å
α = 80.94°, β = 90.00°, γ = 90.00°
Element x y z (fractional)
Y1 0.000 0.591 0.409
Be1 0.500 0.200 0.800
Pt1 0.500 0.088 0.341
Pt2 0.500 0.659 0.912
Pt3 0.000 0.091 0.909

Output
Polymorph energy (0 for the lowest one) in meV/atom: 71

---

3.
Compound: Nb4ReRu
Source: the Alexandria database
Functional: GGA-PBE
Structure: optimized geometry

a = 4.370 Å, b = 4.372 Å, c = 6.228 Å
α = 89.94°, β = 89.96°, γ = 90.00°
Element x y z (fractional)
Nb1 0.501 0.997 0.248
Nb2 0.501 0.998 0.748
Nb3 0.001 0.497 0.748
Nb4 0.001 0.497 0.248
Re1 0.501 0.497 0.998
Ru1 0.001 0.997 0.498

Output
DFT total energy in eV/atom: -10.0405

---

4.
Compound: La3TePtBr
Source: the Alexandria database
Functional: GGA-PBE
Structure: optimized geometry

a = 4.125 Å, b = 7.638 Å, c = 12.174 Å
α = 102.00°, β = 90.00°, γ = 90.00°
Element x y z (fractional)
La1 0.750 0.042 0.138
La2 0.250 0.958 0.862
La3 0.250 0.712 0.502
La4 0.750 0.288 0.498
La5 0.750 0.548 0.146
La6 0.250 0.452 0.854
Te1 0.250 0.347 0.305
Te2 0.750 0.653 0.695
Pt1 0.250 0.764 0.052
Pt2 0.750 0.236 0.948
Br1 0.250 0.115 0.636
Br2 0.750 0.885 0.364

Output
Formation energy without anion corrections in meV per atom: -1330

---

5.
Compound: SrPSe
Source: the Alexandria database
Functional: GGA-PBE
Structure: optimized geometry

a = 9.775 Å, b = 6.193 Å, c = 6.214 Å
α = 90.00°, β = 102.58°, γ = 90.00°
Element x y z (fractional)
Sr1 0.533 0.000 0.642
Sr2 0.533 0.500 0.142
Sr3 0.888 0.000 0.283
Sr4 0.888 0.500 0.783
P1 0.202 0.000 0.500
P2 0.202 0.500 0.000
P3 0.159 0.000 0.804
P4 0.159 0.500 0.304
Se1 0.568 0.000 0.152
Se2 0.568 0.500 0.652
Se3 0.897 0.000 0.783
Se4 0.897 0.500 0.283

Output
Formation energy without anion corrections in meV per atom: -1080

---

6.
Compound: Nb6RuW5
Source: the Alexandria database
Functional: GGA-PBE
Structure: optimized geometry

a = 4.569 Å, b = 6.464 Å, c = 7.926 Å
α = 114.06°, β = 106.75°, γ = 90.00°
Element x y z (fractional)
Ru1 0.000 0.000 0.000
Nb1 0.166 0.416 0.332
Nb2 0.166 0.916 0.332
Nb3 0.500 0.250 0.000
Nb4 0.500 0.750 0.000
Nb5 0.834 0.084 0.668
Nb6 0.834 0.584 0.668
W1 0.333 0.833 0.667
W2 0.666 0.666 0.333
W3 0.000 0.500 0.000
W4 0.334 0.334 0.667
W5 0.667 0.167 0.333

Output
DFT total energy in eV/atom: -11.3136

---

7.
Compound: CsTiSb2Te
Source: the Alexandria database
Functional: GGA-PBE
Structure: optimized geometry

a = 6.070 Å, b = 6.070 Å, c = 6.235 Å
α = 90.00°, β = 90.00°, γ = 90.00°
Site moments in Bohr magnetons follow the coordinates.
Element x y z (fractional)
Cs1 0.000 0.000 0.000  -0.02
Sb1 0.000 0.500 0.000  -0.10
Sb2 0.500 0.000 0.000  -0.10
Te1 0.000 0.000 0.500  -0.10
Ti1 0.500 0.500 0.500  1.98

Output
Formation energy without anion corrections in meV per atom: 1655
Polymorph energy (0 for the lowest one) in meV/atom: 1950

---

8.
Compound: Li3Ho2Ni12Rh
Source: the Alexandria database
Functional: GGA-PBE
Structure: optimized geometry

a = 10.199 Å, b = 10.199 Å, c = 10.199 Å
α = 30.84°, β = 30.84°, γ = 30.84°
Site moments in Bohr magnetons follow the coordinates.
Element x y z (fractional)
Li1 0.500 0.000 0.000  -0.01
Li2 0.000 0.500 0.000  -0.01
Li3 0.000 0.000 0.500  -0.01
Ho1 0.640 0.640 0.640  -0.02
Ho2 0.360 0.360 0.360  -0.02
Ni1 0.408 0.408 0.831  0.12
Ni2 0.891 0.891 0.406  0.08
Ni3 0.406 0.891 0.891  0.08
Ni4 0.831 0.408 0.408  0.12
Ni5 0.891 0.406 0.891  0.08
Ni6 0.408 0.831 0.408  0.12
Ni7 0.592 0.592 0.169  0.12
Ni8 0.109 0.109 0.594  0.08
Ni9 0.594 0.109 0.109  0.08
Ni10 0.169 0.592 0.592  0.12
Ni11 0.109 0.594 0.109  0.08
Ni12 0.592 0.169 0.592  0.12
Rh1 0.000 0.000 0.000  0.08

Output
DFT total energy in eV/atom: -4.9751

---

9.
Compound: Cs2NpPb2S6
Source: the Alexandria database
Functional: GGA-PBE
Structure: optimized geometry

a = 7.222 Å, b = 7.222 Å, c = 8.491 Å
α = 98.99°, β = 98.99°, γ = 118.85°
Site moments in Bohr magnetons follow the coordinates.
Element x y z (fractional)
Cs1 0.823 0.177 0.000  0.00
Cs2 0.177 0.823 0.000  0.00
Np1 0.000 0.000 0.500  1.66
Pb1 0.332 0.668 0.500  -0.01
Pb2 0.668 0.332 0.500  -0.01
S1 0.779 0.779 0.680  -0.07
S2 0.064 0.359 0.681  -0.07
S3 0.221 0.221 0.320  -0.07
S4 0.359 0.064 0.681  -0.07
S5 0.936 0.641 0.319  -0.07
S6 0.641 0.936 0.319  -0.07

Output
Formation energy without anion corrections in meV per atom: -959

---

10.
Compound: NiRh2Br
Source: the Alexandria database
Functional: GGA-PBE
Structure: optimized geometry

a = 8.320 Å, b = 8.320 Å, c = 8.320 Å
α = 20.35°, β = 20.35°, γ = 20.35°
Site moments in Bohr magnetons follow the coordinates.
Element x y z (fractional)
Br1 0.750 0.750 0.750  -0.02
Ni1 0.250 0.250 0.250  0.76
Rh1 0.996 0.996 0.996  0.26
Rh2 0.504 0.504 0.504  0.26

Output
Formation energy without anion corrections in meV per atom: 506
Polymorph energy (0 for the lowest one) in meV/atom: 152

---

11.
Compound: NaYHo2S4
Source: the Alexandria database
Functional: GGA-PBE
Structure: optimized geometry

a = 3.897 Å, b = 6.808 Å, c = 6.804 Å
α = 70.93°, β = 90.00°, γ = 90.00°
Element x y z (fractional)
Na1 0.500 0.500 0.000
Y1 0.000 0.500 0.500
Ho1 0.000 0.000 0.000
Ho2 0.500 0.000 0.500
S1 0.000 0.758 0.745
S2 0.000 0.242 0.255
S3 0.500 0.753 0.249
S4 0.500 0.247 0.751

Output
Formation energy without anion corrections in meV per atom: -1917

---

12.
Compound: MnOsCl2
Source: the Alexandria database
Functional: GGA-PBE
Structure: optimized geometry

a = 4.269 Å, b = 4.269 Å, c = 4.269 Å
α = 60.00°, β = 60.00°, γ = 60.00°
Element x y z (fractional)
Mn1 0.000 0.000 0.000
Os1 0.500 0.500 0.500
Cl1 0.250 0.250 0.250
Cl2 0.750 0.750 0.750

Output
Formation energy without anion corrections in meV per atom: 1369
Polymorph energy (0 for the lowest one) in meV/atom: 1400

---

Let's list spin magnetization in order: 0.0000 0.0000 0.0000 0.0001 0.0000 0.0000 0.3550 0.0629 0.0909 0.3106 0.0000 0.0000 μB per atom.
Let's list calculated volume in order: 133.8 83.7 119.0 375.2 367.1 202.8 229.7 247.2 369.2 61.0 170.6 55.0 Å³/cell.